Material: TcMo3C
Method: DFT, PBE
State: relaxed

abc: 4.6685 4.6685 4.6685
angles: 90.00 90.00 90.00
With the nearest neighbours (Å) after each atom.
Space group Pm-3m (No. 221)
One atom of each set of equivalent atoms:
1 Tc 0.0000 0.0000 0.0000 [1 per cell]  6 Mo 2.33
2 Mo 0.0000 0.0000 0.5000 [3 per cell]  2 Tc 2.33
3 C 0.5000 0.5000 0.5000 [1 per cell]  12 Mo 3.30

Values from the calculation:
Excess energy over the best structure of this formula in the dataset   2.7121 eV/atom

***

Material: LiSm2Bi
Method: DFT, PBE
State: relaxed

abc: 7.6254 7.6254 7.6254
angles: 90.00 90.00 90.00
With the nearest neighbours (Å) after each atom.
Space group Fm-3m (No. 225)
One atom of each set of equivalent atoms:
1 Li 0.0000 0.0000 0.0000 [4 per cell]  8 Sm 3.30
2 Sm 0.2500 0.2500 0.2500 [8 per cell]  4 Li 3.30, 4 Bi 3.30
3 Bi 0.0000 0.0000 0.5000 [4 per cell]  8 Sm 3.30

Values from the calculation:
Excess energy over the best structure of this formula in the dataset   0.0615 eV/atom

***

Material: BaPdS
Method: DFT, PBE
State: relaxed

abc: 4.3786 4.3786 15.1835
angles: 90.00 90.00 90.00
With the nearest neighbours (Å) after each atom.
Space group I4_1md (No. 109)
One atom of each set of equivalent atoms:
1 Ba 0.0000 0.0000 0.0000 [4 per cell]  6 Pd 3.32-3.36, 6 S 3.33-3.35
2 Pd 0.0000 0.0000 0.5858 [4 per cell]  3 S 2.50-2.59
3 S 0.0000 0.0000 0.4154 [4 per cell]  3 Pd 2.50-2.59

Values from the calculation:
Uncorrected formation energy   -1217.0 meV per atom

***

Material: CsNiI4
Method: DFT, PBE
State: relaxed

abc: 20.4823 8.0054 7.4855
angles: 90.00 110.68 90.00
With the nearest neighbours (Å) after each atom.
Space group C2/m (No. 12)
One atom of each set of equivalent atoms:
1 Cs 0.2144 0.0000 0.2431 [4 per cell]  8 I 3.93-4.16
2 Ni 0.0725 0.5000 0.2480 [4 per cell]  5 I 2.54-2.71
3 I 0.0000 0.2879 0.0000 [4 per cell]  2 Ni 2.57
4 I 0.1079 0.2694 0.4964 [8 per cell]  1 Ni 2.54
5 I 0.1910 0.5000 0.1654 [4 per cell]  1 Ni 2.71

Values from the calculation:
Excess energy over the best structure of this formula in the dataset   0.0000 eV/atom
Uncorrected formation energy   -536.6 meV per atom

***

Material: Ti2AgGeSe
Method: DFT, PBE
State: relaxed

abc: 5.0050 5.0050 4.7959
angles: 90.00 90.00 90.00
With the nearest neighbours (Å) after each atom.
Space group P4/mmm (No. 123)
One atom of each set of equivalent atoms:
1 Ti 0.0000 0.5000 0.0000 [2 per cell]  2 Ag 2.50
2 Ag 0.0000 0.0000 0.0000 [1 per cell]  2 Se 2.40, 4 Ti 2.50
3 Ge 0.5000 0.5000 0.5000 [1 per cell]  8 Ti 3.47, 4 Se 3.54
4 Se 0.0000 0.0000 0.5000 [1 per cell]  2 Ag 2.40

Values from the calculation:
Uncorrected formation energy   1032.5 meV per atom

***

Material: Na4B7C
Method: DFT, PBE
State: relaxed

abc: 17.3190 6.0065 5.1080
angles: 90.00 90.00 90.00
With the nearest neighbours (Å) after each atom.
Space group Cmc2_1 (No. 36)
One atom of each set of equivalent atoms:
1 Na 0.1253 0.1254 0.9997 [8 per cell]  2 C 2.73-2.77, 10 B 2.74-2.81, 6 Na 2.96-3.01
2 Na 0.1262 0.3754 0.5000 [8 per cell]  11 B 2.68-2.89, 1 C 2.83, 5 Na 2.96-3.00
3 B 0.0000 0.1150 0.3363 [4 per cell]  2 C 1.62-1.74, 1 B 1.76
4 B 0.0000 0.3589 0.8034 [4 per cell]  1 C 1.59, 1 B 1.70
5 B 0.0000 0.3778 0.1835 [4 per cell]  2 B 1.70-1.76
6 B 0.2494 0.1247 0.3328 [8 per cell]  3 B 1.71-1.73
7 B 0.2495 0.1247 0.6669 [8 per cell]  3 B 1.71-1.73
8 C 0.0000 0.1179 0.6767 [4 per cell]  3 B 1.59-1.74

Values from the calculation:
Excess energy over the best structure of this formula in the dataset   0.0278 eV/atom

***

Material: ErMg4Cd4
Method: DFT, PBE
State: relaxed

abc: 6.5639 6.5639 9.9491
angles: 90.00 90.00 90.00
With the nearest neighbours (Å) after each atom.
Space group P4_2/nmc (No. 137, origin choice 2)
One atom of each set of equivalent atoms:
1 Er 0.2500 0.7500 0.2500 [2 per cell]  4 Cd 3.28, 8 Mg 3.66
2 Mg 0.0301 0.2500 0.1759 [8 per cell]  3 Mg 2.89-2.99, 5 Cd 2.93-2.94
3 Cd 0.0163 0.2500 0.4708 [8 per cell]  5 Mg 2.93-2.94, 1 Cd 3.07

Values from the calculation:
Total DFT energy (no corrections)   -0.0612 hartree per atom

***

Material: DyCo4Ni8
Method: DFT, PBE
State: relaxed

abc: 8.2461 8.2461 4.6621
angles: 90.00 90.00 90.00
With the nearest neighbours (Å) after each atom.
Space group I4/mmm (No. 139)
One atom of each set of equivalent atoms:
1 Dy 0.0000 0.0000 0.0000 [2 per cell]  12 Ni 2.93-2.96, 8 Co 3.14
2 Co 0.2500 0.2500 0.2500 [8 per cell]  2 Co 2.33, 8 Ni 2.38-2.52
3 Ni 0.0000 0.2210 0.5000 [8 per cell]  4 Co 2.38, 6 Ni 2.58-2.59
4 Ni 0.0000 0.3551 0.0000 [8 per cell]  5 Ni 2.39-2.59, 4 Co 2.52

Values from the calculation:
Total DFT energy (no corrections)   -0.2272 hartree per atom

***

Material: Er2MgAl2Ir5
Method: DFT, PBE
State: relaxed

abc: 9.8809 9.8809 3.4696
angles: 90.00 90.00 90.00
With the nearest neighbours (Å) after each atom.
Space group P4/mbm (No. 127)
One atom of each set of equivalent atoms:
1 Er 0.1747 0.3253 0.0000 [4 per cell]  3 Al 2.80-3.00, 6 Ir 3.00-3.11
2 Mg 0.0000 0.0000 0.0000 [2 per cell]  8 Ir 2.76
3 Al 0.1246 0.6246 0.0000 [4 per cell]  6 Ir 2.46-2.47
4 Ir 0.0000 0.5000 0.5000 [2 per cell]  4 Al 2.46
5 Ir 0.0658 0.7929 0.5000 [8 per cell]  2 Al 2.47, 2 Mg 2.76

Values from the calculation:
Total DFT energy (no corrections)   -0.2562 hartree per atom

***

Material: Mg2CdHg2Pd5
Method: DFT, PBE
State: relaxed

abc: 9.5309 9.5309 3.9536
angles: 90.00 90.00 90.00
With the nearest neighbours (Å) after each atom.
Space group P4/mbm (No. 127)
One atom of each set of equivalent atoms:
1 Mg 0.1297 0.3703 0.0000 [4 per cell]  6 Pd 2.64-2.66, 3 Hg 2.76-2.83
2 Cd 0.0000 0.0000 0.0000 [2 per cell]  8 Pd 2.82
3 Hg 0.1655 0.6655 0.0000 [4 per cell]  3 Mg 2.76-2.83, 6 Pd 2.98
4 Pd 0.0000 0.5000 0.5000 [2 per cell]  4 Mg 2.64
5 Pd 0.1008 0.1858 0.5000 [8 per cell]  2 Mg 2.66, 2 Cd 2.82, 3 Pd 2.85-2.88

Values from the calculation:
Total DFT energy (no corrections)   -0.1242 hartree per atom

***

Material: ThNb
Method: DFT, PBE
State: relaxed

abc: 3.7799 4.7240 6.0820
angles: 90.00 106.79 90.00
With the nearest neighbours (Å) after each atom.
Space group P2_1/m (No. 11)
One atom of each set of equivalent atoms:
1 Th 0.1455 0.2500 0.3047 [2 per cell]  7 Nb 3.17-3.28
2 Nb 0.4394 0.2500 0.8668 [2 per cell]  2 Nb 2.83

Values from the calculation:
Total DFT energy (no corrections)   -0.3119 hartree per atom

***

Material: La5Tb4Er
Method: DFT, PBE
State: relaxed

abc: 3.6973 3.6973 25.1605
angles: 90.00 90.00 90.00
With the nearest neighbours (Å) after each atom.
Space group P4/mmm (No. 123)
One atom of each set of equivalent atoms:
1 La 0.0000 0.0000 0.0000 [1 per cell]  8 Tb 3.63, 4 La 3.70
2 La 0.0000 0.0000 0.2004 [2 per cell]  8 Tb 3.63-3.64, 4 La 3.70
3 La 0.0000 0.0000 0.4011 [2 per cell]  4 Er 3.61, 4 Tb 3.63, 4 La 3.70
4 Tb 0.5000 0.5000 0.1002 [2 per cell]  8 La 3.63, 4 Tb 3.70
5 Tb 0.5000 0.5000 0.3009 [2 per cell]  8 La 3.63-3.64, 4 Tb 3.70
6 Er 0.5000 0.5000 0.5000 [1 per cell]  8 La 3.61, 4 Er 3.70

Values from the calculation:
Total DFT energy (no corrections)   -0.1745 hartree per atom

***

Material: Re2SiSbW
Method: DFT, PBE
State: relaxed

abc: 4.8436 4.8436 4.9315
angles: 90.00 90.00 90.00
With the nearest neighbours (Å) after each atom.
Space group P4/mmm (No. 123)
One atom of each set of equivalent atoms:
1 Re 0.0000 0.5000 0.0000 [2 per cell]  2 Sb 2.42
2 Si 0.0000 0.0000 0.5000 [1 per cell]  4 W 3.42, 8 Re 3.46
3 Sb 0.5000 0.5000 0.0000 [1 per cell]  4 Re 2.42, 2 W 2.47
4 W 0.5000 0.5000 0.5000 [1 per cell]  2 Sb 2.47

Values from the calculation:
Uncorrected formation energy   2801.5 meV per atom

***

Material: AcEuMgPd
Method: DFT, PBE
State: relaxed

abc: 7.7487 7.7487 7.7487
angles: 90.00 90.00 90.00
With the nearest neighbours (Å) after each atom.
Space group F-43m (No. 216)
One atom of each set of equivalent atoms:
1 Ac 0.0000 0.0000 0.0000 [4 per cell]  4 Mg 3.36, 4 Pd 3.36
2 Eu 0.0000 0.0000 0.5000 [4 per cell]  4 Mg 3.36, 4 Pd 3.36
3 Mg 0.2500 0.2500 0.2500 [4 per cell]  4 Ac 3.36, 4 Eu 3.36
4 Pd 0.2500 0.2500 0.7500 [4 per cell]  4 Ac 3.36, 4 Eu 3.36

Values from the calculation:
Total DFT energy (no corrections)   -0.2055 hartree per atom

***

Material: ZnRu2Se
Method: DFT, PBE
State: relaxed

abc: 9.3305 2.9491 4.7299
angles: 90.00 112.16 90.00
With the nearest neighbours (Å) after each atom.
Space group Cm (No. 8)
One atom of each set of equivalent atoms:
1 Zn 0.0000 0.0000 0.0000 [2 per cell]  7 Ru 2.53-2.82
2 Ru 0.0295 0.5000 0.5160 [2 per cell]  3 Se 2.56-2.73, 2 Ru 2.74, 4 Zn 2.77-2.82
3 Ru 0.2578 0.0000 0.9396 [2 per cell]  2 Se 2.48, 3 Zn 2.53-2.62, 2 Ru 2.74
4 Se 0.2886 0.5000 0.3790 [2 per cell]  5 Ru 2.48-2.73

Values from the calculation:
Excess energy over the best structure of this formula in the dataset   0.0590 eV/atom
Uncorrected formation energy   149.4 meV per atom

***

Material: Li8As2P
Method: DFT, PBE
State: relaxed

abc: 4.2563 6.0957 12.7705
angles: 90.00 90.00 90.00
With the nearest neighbours (Å) after each atom.
Space group Immm (No. 71)
One atom of each set of equivalent atoms:
1 Li 0.0000 0.0000 0.1733 [4 per cell]  8 Li 2.68-2.74, 2 As 2.84
2 Li 0.0000 0.2360 0.3504 [8 per cell]  1 P 2.50, 3 As 2.60-2.72, 3 Li 2.68
3 Li 0.0000 0.2649 0.0000 [4 per cell]  2 P 2.67, 2 As 2.70, 7 Li 2.74-2.87
4 As 0.0000 0.5000 0.1789 [4 per cell]  10 Li 2.60-2.84
5 P 0.0000 0.5000 0.5000 [2 per cell]  8 Li 2.50-2.67

Values from the calculation:
Excess energy over the best structure of this formula in the dataset   0.0000 eV/atom

***

Material: SiAg2Ru
Method: DFT, PBE
State: relaxed

abc: 3.1519 4.7297 8.6868
angles: 90.00 90.00 90.00
With the nearest neighbours (Å) after each atom.
Space group Cmm2 (No. 35)
One atom of each set of equivalent atoms:
1 Si 0.0000 0.0000 0.0000 [2 per cell]  2 Ru 2.30
2 Ag 0.0000 0.0000 0.4675 [2 per cell]  8 Ag 2.84-3.15, 2 Ru 2.86
3 Ag 0.0000 0.5000 0.7453 [2 per cell]  2 Si 2.72, 6 Ag 2.84-2.88
4 Ru 0.0000 0.5000 0.1924 [2 per cell]  2 Si 2.30

Values from the calculation:
Uncorrected formation energy   163.3 meV per atom

***

Material: ZnInSe2
Method: DFT, PBE
State: relaxed

abc: 11.0071 3.6932 5.5665
angles: 90.00 90.42 90.00
With the nearest neighbours (Å) after each atom.
Space group Cm (No. 8)
One atom of each set of equivalent atoms:
1 Zn 0.0000 0.0000 0.0000 [2 per cell]  4 Se 2.69-2.70, 2 In 2.88
2 In 0.2012 0.5000 0.0046 [2 per cell]  2 Zn 2.88, 4 Se 3.07-3.08
3 Se 0.3798 0.0000 0.7387 [2 per cell]  2 Se 2.64-2.93, 2 Zn 2.69
4 Se 0.3817 0.0000 0.2653 [2 per cell]  2 Se 2.64-2.93, 2 Zn 2.70

Values from the calculation:
Uncorrected formation energy   -91.0 meV per atom

***

Material: TbGeSb
Method: DFT, PBE
State: relaxed

abc: 4.3552 16.3946 4.0986
angles: 90.00 90.00 90.00
With the nearest neighbours (Å) after each atom.
Space group Cmcm (No. 63)
One atom of each set of equivalent atoms:
1 Tb 0.0000 0.0988 0.2500 [4 per cell]  6 Ge 3.09-3.28, 4 Sb 3.24-3.28
2 Ge 0.0000 0.4492 0.2500 [4 per cell]  2 Ge 2.64
3 Sb 0.0000 0.2517 0.7500 [4 per cell]  4 Sb 2.99, 4 Tb 3.24-3.28

Values from the calculation:
Uncorrected formation energy   -725.8 meV per atom

***

Material: HPb6F12
Method: DFT, PBE
State: relaxed

abc: 11.3346 11.3346 10.2588
angles: 90.00 90.00 120.00
With the nearest neighbours (Å) after each atom.
Space group R-3 (No. 148, hexagonal axes)
One atom of each set of equivalent atoms:
1 H 0.0000 0.0000 0.0000 [3 per cell]  6 F 2.85
2 Pb 0.0493 0.2533 0.6627 [18 per cell]  5 F 2.32-2.58
3 F 0.0473 0.2588 0.9136 [18 per cell]  3 Pb 2.32-2.58
4 F 0.0501 0.2357 0.4141 [18 per cell]  4 Pb 2.56-2.70, 1 F 2.86

Values from the calculation:
Total DFT energy (no corrections)   -0.1703 hartree per atom

***

Number 1: M_tot 0.00 μB/f.u.. Number 2: M_tot 0.00 μB/f.u.. Number 3: M_tot 0.00 μB/f.u.. Number 4: M_tot 1.03 μB/f.u.. Number 5: M_tot 0.01 μB/f.u.. Number 6: M_tot 0.00 μB/f.u.. Number 7: M_tot 0.00 μB/f.u.. Number 8: M_tot 10.17 μB/f.u.. Number 9: M_tot 0.00 μB/f.u.. Number 10: M_tot 0.00 μB/f.u.. Number 11: M_tot 0.00 μB/f.u.. Number 12: M_tot 0.00 μB/f.u.. Number 13: M_tot 1.48 μB/f.u.. Number 14: M_tot 7.05 μB/f.u.. Number 15: M_tot 0.00 μB/f.u.. Number 16: M_tot 0.00 μB/f.u.. Number 17: M_tot 0.00 μB/f.u.. Number 18: M_tot 0.00 μB/f.u.. Number 19: M_tot 0.00 μB/f.u.. Number 20: M_tot 1.00 μB/f.u..